# 1
Here is a relaxed structure of Hf2MgPa from Alexandria via LeMat-Bulk. Energies are from PBE-GGA.

```
Hf2MgPa
1.0
3.0723 0.0000 0.0000
1.5361 2.6607 0.0000
1.5361 0.8869 11.3134
Hf Pa Mg
2 1 1
Direct
0.0888 0.0888 0.7337 Hf
0.9112 0.9112 0.2663 Hf
0.0000 0.0000 0.0000 Pa
0.5000 0.5000 0.5000 Mg
```

Summary:
symmetry: No. 166
polymorph energy (0 for the lowest one): 258 meV per atom

---

# 2
Here is a relaxed structure of Ce6TlBi3 from Alexandria via LeMat-Bulk. Energies are from PBE-GGA.

```
Ce6TlBi3
1.0
-1.5656 8.4696 -1.6884
-8.5651 -0.8383 -1.7243
-2.8977 2.1481 8.0016
Bi Ce Tl
6 12 2
Direct
0.8382 0.4120 0.9309 Bi
0.5880 0.0691 0.1618 Bi
0.4120 0.9309 0.8382 Bi
0.1618 0.5880 0.0691 Bi
0.0691 0.1618 0.5880 Bi
0.9309 0.8382 0.4120 Bi
0.7865 0.7222 0.1135 Ce
0.2778 0.8865 0.2135 Ce
0.4971 0.5626 0.8539 Ce
0.2135 0.2778 0.8865 Ce
0.8539 0.4971 0.5626 Ce
0.5029 0.4374 0.1461 Ce
0.4374 0.1461 0.5029 Ce
0.7222 0.1135 0.7865 Ce
0.1461 0.5029 0.4374 Ce
0.5626 0.8539 0.4971 Ce
0.1135 0.7865 0.7222 Ce
0.8865 0.2135 0.2778 Ce
0.5000 0.5000 0.5000 Tl
0.0000 0.0000 0.0000 Tl
```

Summary:
symmetry: No. 148

---

# 3
Here is a relaxed structure of HfMn9Al2 from Alexandria via LeMat-Bulk. Energies are from PBE-GGA.

```
HfMn9Al2
1.0
4.5442 0.0000 1.3524
2.0708 4.0449 1.3524
0.0378 0.0231 8.1834
Mn Al Hf
9 2 1
Direct
0.0710 0.5931 0.7427 Mn
0.5000 0.5000 0.5000 Mn
0.5931 0.0710 0.7427 Mn
0.3397 0.3397 0.9810 Mn
0.4069 0.4069 0.2573 Mn
0.6603 0.6603 0.0190 Mn
0.9290 0.4069 0.2573 Mn
0.4069 0.9290 0.2573 Mn
0.5931 0.5931 0.7427 Mn
0.1423 0.1423 0.5731 Al
0.8577 0.8577 0.4269 Al
0.0000 0.0000 0.0000 Hf
```

Summary:
symmetry: No. 166

---

What are the formation energy values for these records? In order: 121; -293; -70 kJ/mol of formula units.
What are the energy values for these records? In order: -7.44; -5.26; -8.39 eV per atom.